# Cs3GaSe3 meta-GGA SCAN PBEsol geometry
# DOS at the Fermi energy   0.000 states/eV per cell
# Electronic total energy   -2.08788 Ry per atom
# Calculated volume   37.11 Å³ per atom
# Formation energy (no corrections)   -8.84 eV/f.u.
data_Cs3GaSe3
_chemical_formula_sum 'Cs12 Ga4 Se12'
_symmetry_space_group_name_H-M 'P 1 21/c 1'
_symmetry_Int_Tables_number 14
_symmetry_space_group_name_Hall '-P 2ybc'
_cell_length_a 8.508
_cell_length_b 13.577
_cell_length_c 11.255
_cell_angle_alpha 90.00
_cell_angle_beta 126.94
_cell_angle_gamma 90.00
loop_
_atom_site_label
_atom_site_fract_x
_atom_site_fract_y
_atom_site_fract_z
Cs1 0.122 0.128 0.480
Cs2 0.149 0.075 0.887
Cs3 0.370 0.696 0.597
Ga1 0.431 0.055 0.339
Se1 0.150 0.161 0.190
Se2 0.360 0.607 0.894
Se3 0.387 0.550 0.259

=====

# Sr2Rh2Pb meta-GGA SCAN PBEsol geometry
# DOS at the Fermi energy   7.114 states/eV per cell
# Electronic total energy   -2.73813 Ry per atom
# Calculated volume   25.57 Å³ per atom
data_Sr2Rh2Pb
_chemical_formula_sum 'Sr4 Rh4 Pb2'
_symmetry_space_group_name_H-M 'I 4/m m m'
_symmetry_Int_Tables_number 139
_symmetry_space_group_name_Hall '-I 4 2'
_cell_length_a 4.748
_cell_length_b 4.748
_cell_length_c 11.343
_cell_angle_alpha 90.00
_cell_angle_beta 90.00
_cell_angle_gamma 90.00
loop_
_atom_site_label
_atom_site_fract_x
_atom_site_fract_y
_atom_site_fract_z
Sr1 0.000 0.500 0.250
Rh1 0.000 0.000 0.107
Pb1 0.000 0.000 0.500

=====

# HfSiPd2 meta-GGA SCAN PBEsol geometry
# DOS at the Fermi energy   8.231 states/eV per cell
# Electronic total energy   -2.57341 Ry per atom
# Calculated volume   16.70 Å³ per atom
# Formation energy (no corrections)   -1.81 eV/f.u.
data_HfSiPd2
_chemical_formula_sum 'Hf4 Si4 Pd8'
_symmetry_space_group_name_H-M 'I -4 2 d'
_symmetry_Int_Tables_number 122
_symmetry_space_group_name_Hall 'I -4 2bw'
_cell_length_a 3.894
_cell_length_b 3.894
_cell_length_c 17.618
_cell_angle_alpha 90.00
_cell_angle_beta 90.00
_cell_angle_gamma 90.00
loop_
_atom_site_label
_atom_site_fract_x
_atom_site_fract_y
_atom_site_fract_z
Hf1 0.000 0.000 0.000
Si1 0.000 0.000 0.500
Pd1 0.232 0.250 0.625

=====

# TiCr2Mo meta-GGA SCAN PBEsol geometry
# DOS at the Fermi energy   16.582 states/eV per cell
# Electronic total energy   -1.61091 Ry per atom
# Calculated volume   13.16 Å³ per atom
data_TiCr2Mo
_chemical_formula_sum 'Ti4 Cr8 Mo4'
_symmetry_space_group_name_H-M 'F m -3 m'
_symmetry_Int_Tables_number 225
_symmetry_space_group_name_Hall '-F 4 2 3'
_cell_length_a 5.950
_cell_length_b 5.950
_cell_length_c 5.950
_cell_angle_alpha 90.00
_cell_angle_beta 90.00
_cell_angle_gamma 90.00
loop_
_atom_site_label
_atom_site_fract_x
_atom_site_fract_y
_atom_site_fract_z
Ti1 0.000 0.000 0.000
Cr1 0.250 0.250 0.250
Mo1 0.000 0.000 0.500

=====

# NdP5 meta-GGA SCAN PBEsol geometry
# DOS at the Fermi energy   0.584 states/eV per cell
# Electronic total energy   -1.21787 Ry per atom
# Calculated volume   20.44 Å³ per atom
data_NdP5
_chemical_formula_sum 'Nd2 P10'
_symmetry_space_group_name_H-M 'P 1 21/m 1'
_symmetry_Int_Tables_number 11
_symmetry_space_group_name_Hall '-P 2yb'
_cell_length_a 4.900
_cell_length_b 9.509
_cell_length_c 5.416
_cell_angle_alpha 90.00
_cell_angle_beta 103.65
_cell_angle_gamma 90.00
loop_
_atom_site_label
_atom_site_fract_x
_atom_site_fract_y
_atom_site_fract_z
Nd1 0.022 0.250 0.356
P1 0.278 0.250 0.908
P2 0.288 0.535 0.400
P3 0.382 0.592 0.041

=====

# FeBP3 meta-GGA SCAN PBEsol geometry
# DOS at the Fermi energy   4.535 states/eV per cell
# Electronic total energy   -0.72972 Ry per atom
# Calculated volume   15.02 Å³ per atom
data_FeBP3
_chemical_formula_sum 'Fe1 B1 P3'
_symmetry_space_group_name_H-M 'P m -3 m'
_symmetry_Int_Tables_number 221
_symmetry_space_group_name_Hall '-P 4 2 3'
_cell_length_a 4.219
_cell_length_b 4.219
_cell_length_c 4.219
_cell_angle_alpha 90.00
_cell_angle_beta 90.00
_cell_angle_gamma 90.00
loop_
_atom_site_label
_atom_site_fract_x
_atom_site_fract_y
_atom_site_fract_z
Fe1 0.000 0.000 0.000
B1 0.500 0.500 0.500
P1 0.000 0.000 0.500

=====

# Na2YN meta-GGA SCAN PBEsol geometry
# DOS at the Fermi energy   14.988 states/eV per cell
# Electronic total energy   -0.76984 Ry per atom
# Calculated volume   28.94 Å³ per atom
# Formation energy (no corrections)   3.67 eV/f.u.
data_Na2YN
_chemical_formula_sum 'Na8 Y4 N4'
_symmetry_space_group_name_H-M 'I 41/a m d'
_symmetry_Int_Tables_number 141
_cell_length_a 6.860
_cell_length_b 6.860
_cell_length_c 9.839
_cell_angle_alpha 90.00
_cell_angle_beta 90.00
_cell_angle_gamma 90.00
loop_
_symmetry_equiv_pos_as_xyz
'x,y,z'
'-x,-y,-z'
'-y+1/4,x+3/4,z+1/4'
'y+1/4,-x+3/4,-z+1/4'
'-x+1/2,-y,z+1/2'
'x+1/2,y,-z+1/2'
'y+1/4,-x+1/4,z+3/4'
'-y+1/4,x+1/4,-z+3/4'
'x,-y,-z'
'-x,y,z'
'-y+1/4,-x+1/4,-z+3/4'
'y+1/4,x+1/4,z+3/4'
'-x+1/2,y,-z+1/2'
'x+1/2,-y,z+1/2'
'y+1/4,x+3/4,-z+1/4'
'-y+1/4,-x+3/4,z+1/4'
'x+1/2,y+1/2,z+1/2'
'-x+1/2,-y+1/2,-z+1/2'
'-y+3/4,x+1/4,z+3/4'
'y+3/4,-x+1/4,-z+3/4'
'-x,-y+1/2,z'
'x,y+1/2,-z'
'y+3/4,-x+3/4,z+1/4'
'-y+3/4,x+3/4,-z+1/4'
'x+1/2,-y+1/2,-z+1/2'
'-x+1/2,y+1/2,z+1/2'
'-y+3/4,-x+3/4,-z+1/4'
'y+3/4,x+3/4,z+1/4'
'-x,y+1/2,-z'
'x,-y+1/2,z'
'y+3/4,x+1/4,-z+3/4'
'-y+3/4,-x+1/4,z+3/4'
loop_
_atom_site_label
_atom_site_fract_x
_atom_site_fract_y
_atom_site_fract_z
Na1 0.000 0.000 0.000
Y1 0.000 0.250 0.375
N1 0.000 0.250 0.875

=====

# KFe2Os meta-GGA SCAN PBEsol geometry
# DOS at the Fermi energy   3.702 states/eV per cell
# Electronic total energy   -2.09193 Ry per atom
# Calculated volume   18.08 Å³ per atom
data_KFe2Os
_chemical_formula_sum 'K1 Fe2 Os1'
_symmetry_space_group_name_H-M 'P m m m'
_symmetry_Int_Tables_number 47
_symmetry_space_group_name_Hall '-P 2 2'
_cell_length_a 2.656
_cell_length_b 3.702
_cell_length_c 7.356
_cell_angle_alpha 90.00
_cell_angle_beta 90.00
_cell_angle_gamma 90.00
loop_
_atom_site_label
_atom_site_fract_x
_atom_site_fract_y
_atom_site_fract_z
K1 0.000 0.000 0.000
Fe1 0.500 0.500 0.348
Os1 0.000 0.000 0.500

=====

# NaY2AsOs meta-GGA SCAN PBEsol geometry
# DOS at the Fermi energy   3.419 states/eV per cell
# Electronic total energy   -2.20242 Ry per atom
# Calculated volume   26.49 Å³ per atom
data_NaY2AsOs
_chemical_formula_sum 'Na1 Y2 As1 Os1'
_symmetry_space_group_name_H-M 'P 4/m m m'
_symmetry_Int_Tables_number 123
_symmetry_space_group_name_Hall '-P 4 2'
_cell_length_a 5.288
_cell_length_b 5.288
_cell_length_c 4.736
_cell_angle_alpha 90.00
_cell_angle_beta 90.00
_cell_angle_gamma 90.00
loop_
_atom_site_label
_atom_site_fract_x
_atom_site_fract_y
_atom_site_fract_z
Na1 0.000 0.000 0.000
Y1 0.000 0.500 0.500
As1 0.000 0.000 0.500
Os1 0.500 0.500 0.000

=====

# LaPtW meta-GGA SCAN PBEsol geometry
# DOS at the Fermi energy   14.875 states/eV per cell
# Electronic total energy   -4.44768 Ry per atom
# Calculated volume   21.88 Å³ per atom
data_LaPtW
_chemical_formula_sum 'La4 Pt4 W4'
_symmetry_space_group_name_H-M 'F -4 3 m'
_symmetry_Int_Tables_number 216
_symmetry_space_group_name_Hall 'F -4 2 3'
_cell_length_a 6.403
_cell_length_b 6.403
_cell_length_c 6.403
_cell_angle_alpha 90.00
_cell_angle_beta 90.00
_cell_angle_gamma 90.00
loop_
_atom_site_label
_atom_site_fract_x
_atom_site_fract_y
_atom_site_fract_z
La1 0.000 0.000 0.000
Pt1 0.000 0.000 0.500
W1 0.250 0.250 0.250

=====

# TiCrPdCl2 meta-GGA SCAN PBEsol geometry
# DOS at the Fermi energy   2.455 states/eV per cell
# Electronic total energy   -1.23906 Ry per atom
# Calculated volume   20.67 Å³ per atom
# Formation energy (no corrections)   -1.15 eV/f.u.
data_TiCrPdCl2
_chemical_formula_sum 'Ti1 Cr1 Pd1 Cl2'
_symmetry_space_group_name_H-M 'P 4/m m m'
_symmetry_Int_Tables_number 123
_symmetry_space_group_name_Hall '-P 4 2'
_cell_length_a 4.557
_cell_length_b 4.557
_cell_length_c 4.976
_cell_angle_alpha 90.00
_cell_angle_beta 90.00
_cell_angle_gamma 90.00
loop_
_atom_site_label
_atom_site_fract_x
_atom_site_fract_y
_atom_site_fract_z
Ti1 0.000 0.000 0.000
Cr1 0.500 0.500 0.500
Pd1 0.000 0.000 0.500
Cl1 0.000 0.500 0.000

=====

# TaTc2Te meta-GGA SCAN PBEsol geometry
# DOS at the Fermi energy   8.041 states/eV per cell
# Electronic total energy   -3.16711 Ry per atom
# Calculated volume   16.63 Å³ per atom
# Formation energy (no corrections)   1.59 eV/f.u.
data_TaTc2Te
_chemical_formula_sum 'Ta2 Tc4 Te2'
_symmetry_space_group_name_H-M 'C 1 2/m 1'
_symmetry_Int_Tables_number 12
_symmetry_space_group_name_Hall '-C 2y'
_cell_length_a 5.596
_cell_length_b 8.727
_cell_length_c 2.991
_cell_angle_alpha 90.00
_cell_angle_beta 114.41
_cell_angle_gamma 90.00
loop_
_atom_site_label
_atom_site_fract_x
_atom_site_fract_y
_atom_site_fract_z
Ta1 0.000 0.000 0.000
Tc1 0.250 0.250 0.500
Te1 0.000 0.500 0.000

=====

# TcMo2Os meta-GGA SCAN PBEsol geometry
# DOS at the Fermi energy   4.171 states/eV per cell
# Electronic total energy   -3.23387 Ry per atom
# Calculated volume   14.70 Å³ per atom
data_TcMo2Os
_chemical_formula_sum 'Tc1 Mo2 Os1'
_symmetry_space_group_name_H-M 'P m m m'
_symmetry_Int_Tables_number 47
_symmetry_space_group_name_Hall '-P 2 2'
_cell_length_a 3.065
_cell_length_b 4.350
_cell_length_c 4.409
_cell_angle_alpha 90.00
_cell_angle_beta 90.00
_cell_angle_gamma 90.00
loop_
_atom_site_label
_atom_site_fract_x
_atom_site_fract_y
_atom_site_fract_z
Tc1 0.000 0.000 0.000
Mo1 0.000 0.500 0.500
Mo2 0.500 0.500 0.000
Os1 0.500 0.000 0.500

=====

# Sr3Tc meta-GGA SCAN PBEsol geometry
# DOS at the Fermi energy   9.404 states/eV per cell
# Electronic total energy   -1.82036 Ry per atom
# Calculated volume   36.28 Å³ per atom
data_Sr3Tc
_chemical_formula_sum 'Sr6 Tc2'
_symmetry_space_group_name_H-M 'I m m m'
_symmetry_Int_Tables_number 71
_symmetry_space_group_name_Hall '-I 2 2'
_cell_length_a 3.605
_cell_length_b 5.752
_cell_length_c 13.997
_cell_angle_alpha 90.00
_cell_angle_beta 90.00
_cell_angle_gamma 90.00
loop_
_atom_site_label
_atom_site_fract_x
_atom_site_fract_y
_atom_site_fract_z
Sr1 0.000 0.000 0.000
Sr2 0.000 0.500 0.173
Tc1 0.000 0.000 0.500

=====

# ZnAg2Au meta-GGA SCAN PBEsol geometry
# DOS at the Fermi energy   1.749 states/eV per cell
# Electronic total energy   -2.67620 Ry per atom
# Calculated volume   16.04 Å³ per atom
data_ZnAg2Au
_chemical_formula_sum 'Zn2 Ag4 Au2'
_symmetry_space_group_name_H-M 'C 1 m 1'
_symmetry_Int_Tables_number 8
_symmetry_space_group_name_Hall 'C -2y'
_cell_length_a 5.015
_cell_length_b 2.868
_cell_length_c 9.067
_cell_angle_alpha 90.00
_cell_angle_beta 100.24
_cell_angle_gamma 90.00
loop_
_atom_site_label
_atom_site_fract_x
_atom_site_fract_y
_atom_site_fract_z
Zn1 0.000 0.000 0.000
Ag1 0.000 0.500 0.502
Ag2 0.254 0.000 0.762
Au1 0.246 0.500 0.238

=====

# Dy3Ga8Ir3 meta-GGA SCAN PBEsol geometry
# DOS at the Fermi energy   13.217 states/eV per cell
# Electronic total energy   -2.61759 Ry per atom
# Calculated volume   17.46 Å³ per atom
data_Dy3Ga8Ir3
_chemical_formula_sum 'Dy6 Ga16 Ir6'
_symmetry_space_group_name_H-M 'I m m m'
_symmetry_Int_Tables_number 71
_symmetry_space_group_name_Hall '-I 2 2'
_cell_length_a 4.143
_cell_length_b 9.667
_cell_length_c 12.207
_cell_angle_alpha 90.00
_cell_angle_beta 90.00
_cell_angle_gamma 90.00
loop_
_atom_site_label
_atom_site_fract_x
_atom_site_fract_y
_atom_site_fract_z
Dy1 0.000 0.000 0.000
Dy2 0.000 0.000 0.329
Ga1 0.000 0.284 0.124
Ga2 0.000 0.371 0.330
Ir1 0.000 0.220 0.500
Ir2 0.000 0.500 0.000

=====

# TiNi meta-GGA SCAN PBEsol geometry
# DOS at the Fermi energy   2.381 states/eV per cell
# Electronic total energy   -1.21739 Ry per atom
# Calculated volume   13.24 Å³ per atom
data_TiNi
_chemical_formula_sum 'Ti2 Ni2'
_symmetry_space_group_name_H-M 'P 1 21/m 1'
_symmetry_Int_Tables_number 11
_symmetry_space_group_name_Hall '-P 2yb'
_cell_length_a 2.885
_cell_length_b 3.984
_cell_length_c 4.713
_cell_angle_alpha 90.00
_cell_angle_beta 102.18
_cell_angle_gamma 90.00
loop_
_atom_site_label
_atom_site_fract_x
_atom_site_fract_y
_atom_site_fract_z
Ti1 0.114 0.250 0.285
Ni1 0.437 0.250 0.829

=====

# Li2GeBi meta-GGA SCAN PBEsol geometry
# DOS at the Fermi energy   4.936 states/eV per cell
# Electronic total energy   -1.90394 Ry per atom
# Calculated volume   19.09 Å³ per atom
data_Li2GeBi
_chemical_formula_sum 'Li8 Ge4 Bi4'
_symmetry_space_group_name_H-M 'F m -3 m'
_symmetry_Int_Tables_number 225
_symmetry_space_group_name_Hall '-F 4 2 3'
_cell_length_a 6.735
_cell_length_b 6.735
_cell_length_c 6.735
_cell_angle_alpha 90.00
_cell_angle_beta 90.00
_cell_angle_gamma 90.00
loop_
_atom_site_label
_atom_site_fract_x
_atom_site_fract_y
_atom_site_fract_z
Li1 0.250 0.250 0.250
Ge1 0.000 0.000 0.000
Bi1 0.000 0.000 0.500

=====

# YMn2Os meta-GGA SCAN PBEsol geometry
# DOS at the Fermi energy   7.090 states/eV per cell
# Electronic total energy   -2.48138 Ry per atom
# Calculated volume   14.98 Å³ per atom
data_YMn2Os
_chemical_formula_sum 'Y2 Mn4 Os2'
_symmetry_space_group_name_H-M 'I -4 m 2'
_symmetry_Int_Tables_number 119
_symmetry_space_group_name_Hall 'I -4 -2'
_cell_length_a 4.395
_cell_length_b 4.395
_cell_length_c 6.206
_cell_angle_alpha 90.00
_cell_angle_beta 90.00
_cell_angle_gamma 90.00
loop_
_atom_site_label
_atom_site_fract_x
_atom_site_fract_y
_atom_site_fract_z
Y1 0.000 0.000 0.000
Mn1 0.000 0.000 0.500
Mn2 0.000 0.500 0.250
Os1 0.000 0.500 0.750

=====

# ZrNiBr2 meta-GGA SCAN PBEsol geometry
# DOS at the Fermi energy   17.417 states/eV per cell
# Electronic total energy   -1.57392 Ry per atom
# Calculated volume   17.53 Å³ per atom
# Formation energy (no corrections)   0.13 eV/f.u.
data_ZrNiBr2
_chemical_formula_sum 'Zr4 Ni4 Br8'
_symmetry_space_group_name_H-M 'F m -3 m'
_symmetry_Int_Tables_number 225
_symmetry_space_group_name_Hall '-F 4 2 3'
_cell_length_a 6.546
_cell_length_b 6.546
_cell_length_c 6.546
_cell_angle_alpha 90.00
_cell_angle_beta 90.00
_cell_angle_gamma 90.00
loop_
_atom_site_label
_atom_site_fract_x
_atom_site_fract_y
_atom_site_fract_z
Zr1 0.000 0.000 0.000
Ni1 0.000 0.000 0.500
Br1 0.250 0.250 0.250